*1*
# CrMo2H2 (PBE-GGA, optimized geometry)
# calculated volume: 98 Å³ per cell
data_CrMo2H2
_chemical_formula_sum 'Cr2 Mo4 H4'
_cell_length_a 5.784
_cell_length_b 5.784
_cell_length_c 2.923
_cell_angle_alpha 90.00
_cell_angle_beta 90.00
_cell_angle_gamma 90.00
_space_group_name_H-M_alt 'P 4/m b m'
_space_group_IT_number 127
_space_group_name_Hall '-P 4 2ab'
loop_
_atom_site_label
_atom_site_fract_x
_atom_site_fract_y
_atom_site_fract_z
Cr1 0.000 0.000 0.000
Mo1 0.160 0.340 0.500
H1 0.178 0.678 0.000

---

*2*
# CrMo2H2 (PBE-GGA, optimized geometry)
# calculated volume: 99 Å³ per cell
data_CrMo2H2
_chemical_formula_sum 'Cr2 Mo4 H4'
_cell_length_a 2.970
_cell_length_b 2.970
_cell_length_c 11.197
_cell_angle_alpha 90.00
_cell_angle_beta 90.00
_cell_angle_gamma 90.00
_space_group_name_H-M_alt 'I 4/m m m'
_space_group_IT_number 139
_space_group_name_Hall '-I 4 2'
loop_
_atom_site_label
_atom_site_fract_x
_atom_site_fract_y
_atom_site_fract_z
Cr1 0.000 0.000 0.000
Mo1 0.000 0.000 0.362
H1 0.000 0.500 0.250

---

Relative energies in meV per atom: *1* 170; *2* 0

---

*1*
# Cr2MoH (PBE-GGA, optimized geometry)
# calculated volume: 199 Å³ per cell
data_Cr2MoH
_chemical_formula_sum 'Cr8 Mo4 H4'
_cell_length_a 5.842
_cell_length_b 5.842
_cell_length_c 5.842
_cell_angle_alpha 90.00
_cell_angle_beta 90.00
_cell_angle_gamma 90.00
_space_group_name_H-M_alt 'F m -3 m'
_space_group_IT_number 225
_space_group_name_Hall '-F 4 2 3'
loop_
_atom_site_label
_atom_site_fract_x
_atom_site_fract_y
_atom_site_fract_z
Cr1 0.250 0.250 0.250
Mo1 0.000 0.000 0.000
H1 0.000 0.000 0.500

---

*2*
# Cr2MoH (PBE-GGA, optimized geometry)
# calculated volume: 195 Å³ per cell
data_Cr2MoH
_chemical_formula_sum 'Cr6 Mo3 H3'
_cell_length_a 3.8292
_cell_length_b 3.8292
_cell_length_c 15.3213
_cell_angle_alpha 90.00
_cell_angle_beta 90.00
_cell_angle_gamma 120.00
_space_group_name_H-M_alt 'R -3 m'
_space_group_IT_number 166
_space_group_name_Hall '-R 3 2"'
loop_
_atom_site_label
_atom_site_fract_x
_atom_site_fract_y
_atom_site_fract_z
Cr1 0.0000 0.0000 0.1082
Mo1 0.0000 0.0000 0.5000
H1 0.0000 0.0000 0.0000

---

Relative energies in meV per atom: *1* 0; *2* 329

---

*1*
# CrMo3H (PBE-GGA, optimized geometry)
# calculated volume: 63 Å³ per cell
data_CrMo3H
_chemical_formula_sum 'Cr1 Mo3 H1'
_cell_length_a 3.973
_cell_length_b 3.973
_cell_length_c 3.973
_cell_angle_alpha 90.00
_cell_angle_beta 90.00
_cell_angle_gamma 90.00
_space_group_name_H-M_alt 'P m -3 m'
_space_group_IT_number 221
_space_group_name_Hall '-P 4 2 3'
loop_
_atom_site_label
_atom_site_fract_x
_atom_site_fract_y
_atom_site_fract_z
Cr1 0.000 0.000 0.000
Mo1 0.000 0.500 0.500
H1 0.500 0.500 0.500

---

*2*
# CrMo3H (PBE-GGA, optimized geometry)
# calculated volume: 89 Å³ per cell
data_CrMo3H
_chemical_formula_sum 'Cr1 Mo3 H1'
_cell_length_a 4.470
_cell_length_b 4.470
_cell_length_c 4.470
_cell_angle_alpha 90.00
_cell_angle_beta 90.00
_cell_angle_gamma 90.00
_space_group_name_H-M_alt 'P m -3 m'
_space_group_IT_number 221
_space_group_name_Hall '-P 4 2 3'
loop_
_atom_site_label
_atom_site_fract_x
_atom_site_fract_y
_atom_site_fract_z
Cr1 0.000 0.000 0.000
Mo1 0.000 0.000 0.500
H1 0.500 0.500 0.500

---

Relative energies in meV per atom: *1* 0; *2* 1639

---

*1*
# Cr2NiMoH (PBE-GGA, optimized geometry)
# calculated volume: 52 Å³ per cell
data_Cr2NiMoH
_chemical_formula_sum 'Cr2 Ni1 Mo1 H1'
_cell_length_a 3.686
_cell_length_b 3.686
_cell_length_c 3.852
_cell_angle_alpha 90.00
_cell_angle_beta 90.00
_cell_angle_gamma 90.00
_space_group_name_H-M_alt 'P 4/m m m'
_space_group_IT_number 123
_space_group_name_Hall '-P 4 2'
loop_
_atom_site_label
_atom_site_fract_x
_atom_site_fract_y
_atom_site_fract_z
Cr1 0.000 0.500 0.000
Ni1 0.000 0.000 0.500
Mo1 0.500 0.500 0.500
H1 0.500 0.500 0.000

---

*2*
# Cr2NiMoH (PBE-GGA, optimized geometry)
# calculated volume: 52 Å³ per cell
data_Cr2NiMoH
_chemical_formula_sum 'Cr2 Ni1 Mo1 H1'
_cell_length_a 3.815
_cell_length_b 3.815
_cell_length_c 3.552
_cell_angle_alpha 90.00
_cell_angle_beta 90.00
_cell_angle_gamma 90.00
_space_group_name_H-M_alt 'P 4/m m m'
_space_group_IT_number 123
_space_group_name_Hall '-P 4 2'
loop_
_atom_site_label
_atom_site_fract_x
_atom_site_fract_y
_atom_site_fract_z
Cr1 0.000 0.500 0.000
Ni1 0.000 0.000 0.500
Mo1 0.500 0.500 0.500
H1 0.000 0.000 0.000

---

Relative energies in meV per atom: *1* 32; *2* 0